Here is La4As after structural relaxation from Alexandria via LeMat-Bulk. Energies are from PBE-GGA.

The calculation puts the total energy at -26.58 eV per formula unit. As for the spin magnetization: 0.0 μB per formula unit. For the excess energy over the best structure of this formula in the dataset, the calculation gives 0.000 eV/f.u.

a = 6.844 Å, b = 6.844 Å, c = 6.844 Å
α = 94.65°, β = 94.65°, γ = 146.92°
Fractional positions:
La  0.073  0.741  0.814
La  0.259  0.073  0.332
La  0.741  0.927  0.668
La  0.927  0.259  0.186
As  0.500  0.500  0.000

---

Here is La3As after structural relaxation from Alexandria via LeMat-Bulk. Energies are from PBE-GGA.

The calculation puts the total energy at -21.78 eV per formula unit. As for the spin magnetization: 0.0 μB per formula unit. For the excess energy over the best structure of this formula in the dataset, the calculation gives 0.249 eV/f.u.

a = 7.145 Å, b = 7.145 Å, c = 7.145 Å
α = 148.19°, β = 138.49°, γ = 53.23°
Fractional positions:
La  0.000  0.000  0.000
La  0.306  0.806  0.500
La  0.694  0.194  0.500
As  0.500  0.500  0.000

---

Here is Li4LaAs after structural relaxation from Alexandria via LeMat-Bulk. Energies are from PBE-GGA.

The calculation puts the total energy at -17.91 eV per formula unit. As for the spin magnetization: 0.0 μB per formula unit.

a = 5.552 Å, b = 5.552 Å, c = 5.552 Å
α = 60.00°, β = 60.00°, γ = 60.00°
Fractional positions:
Li  0.123  0.123  0.123
Li  0.123  0.123  0.631
Li  0.123  0.631  0.123
Li  0.631  0.123  0.123
La  0.500  0.500  0.500
As  0.750  0.750  0.750

---

Here is LiLaAs2 after structural relaxation from Alexandria via LeMat-Bulk. Energies are from PBE-GGA.

The calculation puts the total energy at -20.31 eV per formula unit. As for the spin magnetization: 0.0 μB per formula unit. For the excess energy over the best structure of this formula in the dataset, the calculation gives 0.000 eV/f.u.

a = 4.030 Å, b = 4.030 Å, c = 10.881 Å
α = 90.00°, β = 90.00°, γ = 90.00°
Fractional positions:
Li  0.250  0.750  0.000
Li  0.750  0.250  0.000
La  0.250  0.250  0.268
La  0.750  0.750  0.732
As  0.250  0.250  0.845
As  0.250  0.750  0.500
As  0.750  0.250  0.500
As  0.750  0.750  0.155

---

Here is LiLaAs2 after structural relaxation from Alexandria via LeMat-Bulk. Energies are from PBE-GGA.

The calculation puts the total energy at -19.17 eV per formula unit. As for the spin magnetization: 0.0 μB per formula unit. For the excess energy over the best structure of this formula in the dataset, the calculation gives 1.140 eV/f.u.

a = 5.044 Å, b = 5.044 Å, c = 5.044 Å
α = 60.00°, β = 60.00°, γ = 60.00°
Fractional positions:
Li  0.000  0.000  0.000
La  0.500  0.500  0.500
As  0.250  0.250  0.250
As  0.750  0.750  0.750

---

Here is LiLaAs2 after structural relaxation from Alexandria via LeMat-Bulk. Energies are from PBE-GGA.

The calculation puts the total energy at -18.09 eV per formula unit. As for the spin magnetization: 0.0 μB per formula unit. For the excess energy over the best structure of this formula in the dataset, the calculation gives 2.216 eV/f.u.

a = 4.966 Å, b = 4.966 Å, c = 4.966 Å
α = 60.00°, β = 60.00°, γ = 60.00°
Fractional positions:
Li  0.000  0.000  0.000
La  0.250  0.250  0.250
As  0.500  0.500  0.500
As  0.750  0.750  0.750

---

Here is LiLaAs2 after structural relaxation from Alexandria via LeMat-Bulk. Energies are from PBE-GGA.

The calculation puts the total energy at -19.80 eV per formula unit. As for the spin magnetization: 0.0 μB per formula unit. For the excess energy over the best structure of this formula in the dataset, the calculation gives 0.513 eV/f.u.

a = 5.970 Å, b = 5.970 Å, c = 4.216 Å
α = 110.03°, β = 110.03°, γ = 42.84°
Fractional positions:
Li  0.000  0.000  0.000
La  0.271  0.271  0.775
As  0.608  0.608  0.934
As  0.842  0.842  0.341

---

Here is LiLa3As3 after structural relaxation from Alexandria via LeMat-Bulk. Energies are from PBE-GGA.

The calculation puts the total energy at -39.99 eV per formula unit. As for the spin magnetization: 0.0 μB per formula unit.

a = 9.901 Å, b = 9.901 Å, c = 12.486 Å
α = 90.00°, β = 90.00°, γ = 37.17°
Fractional positions:
Li  0.081  0.081  0.000
Li  0.419  0.419  0.500
Li  0.581  0.581  0.500
Li  0.919  0.919  0.000
La  0.050  0.605  0.369
La  0.105  0.550  0.869
La  0.203  0.797  0.640
La  0.297  0.703  0.140
La  0.395  0.950  0.369
La  0.450  0.895  0.869
La  0.550  0.105  0.131
La  0.605  0.050  0.631
La  0.703  0.297  0.860
La  0.797  0.203  0.360
La  0.895  0.450  0.131
La  0.950  0.395  0.631
As  0.067  0.604  0.121
As  0.104  0.567  0.621
As  0.226  0.774  0.884
As  0.274  0.726  0.384
As  0.396  0.933  0.121
As  0.433  0.896  0.621
As  0.567  0.104  0.379
As  0.604  0.067  0.879
As  0.726  0.274  0.616
As  0.774  0.226  0.116
As  0.896  0.433  0.379
As  0.933  0.396  0.879

---

Here is LiLaAs2 after structural relaxation from Alexandria via LeMat-Bulk. Energies are from PBE-GGA.

The calculation puts the total energy at -19.44 eV per formula unit. As for the spin magnetization: 0.0 μB per formula unit. For the excess energy over the best structure of this formula in the dataset, the calculation gives 0.871 eV/f.u.

a = 4.726 Å, b = 4.726 Å, c = 5.179 Å
α = 109.51°, β = 109.51°, γ = 57.43°
Fractional positions:
Li  0.000  0.000  0.000
La  0.500  0.500  0.500
As  0.255  0.255  0.832
As  0.745  0.745  0.168

---

Here is LiLaAs2 after structural relaxation from Alexandria via LeMat-Bulk. Energies are from PBE-GGA.

The calculation puts the total energy at -19.23 eV per formula unit. As for the spin magnetization: 0.0 μB per formula unit. For the excess energy over the best structure of this formula in the dataset, the calculation gives 1.078 eV/f.u.

a = 3.781 Å, b = 3.781 Å, c = 6.240 Å
α = 90.00°, β = 90.00°, γ = 99.16°
Fractional positions:
Li  0.000  0.000  0.000
La  0.000  0.000  0.500
As  0.500  0.500  0.205
As  0.500  0.500  0.795

---

Here is LiLaAs after structural relaxation from Alexandria via LeMat-Bulk. Energies are from PBE-GGA.

The calculation puts the total energy at -13.25 eV per formula unit. As for the spin magnetization: 1.0 μB per formula unit. For the excess energy over the best structure of this formula in the dataset, the calculation gives 1.401 eV/f.u.

a = 5.985 Å, b = 5.738 Å, c = 3.779 Å
α = 74.78°, β = 67.68°, γ = 37.53°
Fractional positions:
Li  0.000  0.000  0.000
La  0.282  0.282  0.718
As  0.604  0.604  0.396

---

Here is LiLaAs2 after structural relaxation from Alexandria via LeMat-Bulk. Energies are from PBE-GGA.

The calculation puts the total energy at -19.17 eV per formula unit. As for the spin magnetization: 0.0 μB per formula unit. For the excess energy over the best structure of this formula in the dataset, the calculation gives 1.142 eV/f.u.

a = 3.741 Å, b = 3.741 Å, c = 6.176 Å
α = 90.00°, β = 90.00°, γ = 90.00°
Fractional positions:
Li  0.000  0.000  0.000
La  0.000  0.000  0.500
As  0.500  0.500  0.206
As  0.500  0.500  0.794

---

Here is LiLaAs after structural relaxation from Alexandria via LeMat-Bulk. Energies are from PBE-GGA.

The calculation puts the total energy at -12.77 eV per formula unit. As for the spin magnetization: 0.0 μB per formula unit. For the excess energy over the best structure of this formula in the dataset, the calculation gives 1.882 eV/f.u.

a = 4.941 Å, b = 4.941 Å, c = 4.941 Å
α = 60.00°, β = 60.00°, γ = 60.00°
Fractional positions:
Li  0.000  0.000  0.000
La  0.250  0.250  0.250
As  0.500  0.500  0.500

---

Here is Li2LaAs after structural relaxation from Alexandria via LeMat-Bulk. Energies are from PBE-GGA.

The calculation puts the total energy at -14.70 eV per formula unit. As for the spin magnetization: 0.0 μB per formula unit.

a = 3.818 Å, b = 3.818 Å, c = 6.187 Å
α = 90.00°, β = 90.00°, γ = 90.00°
Fractional positions:
Li  0.000  0.000  0.185
Li  0.000  0.000  0.815
La  0.500  0.500  0.500
As  0.500  0.500  0.000

---

Number 1: N(E_F) 7.2 states/eV/f.u., formation enthalpy at 0 K -0.45 eV/atom. Number 2: N(E_F) 4.6 states/eV/f.u., formation enthalpy at 0 K -0.59 eV/atom. Number 3: N(E_F) 5.3 states/eV/f.u., formation enthalpy at 0 K -0.11 eV/atom. Number 4: N(E_F) 0.9 states/eV/f.u., formation enthalpy at 0 K -1.04 eV/atom. Number 5: N(E_F) 5.2 states/eV/f.u., formation enthalpy at 0 K -0.76 eV/atom. Number 6: N(E_F) 1.0 states/eV/f.u., formation enthalpy at 0 K -0.49 eV/atom. Number 7: N(E_F) 0.1 states/eV/f.u., formation enthalpy at 0 K -0.91 eV/atom. Number 8: N(E_F) 2.6 states/eV/f.u., formation enthalpy at 0 K -1.34 eV/atom. Number 9: N(E_F) 2.3 states/eV/f.u., formation enthalpy at 0 K -0.82 eV/atom. Number 10: N(E_F) 1.7 states/eV/f.u., formation enthalpy at 0 K -0.77 eV/atom. Number 11: N(E_F) 0.9 states/eV/f.u., formation enthalpy at 0 K -0.59 eV/atom. Number 12: N(E_F) 2.8 states/eV/f.u., formation enthalpy at 0 K -0.76 eV/atom. Number 13: N(E_F) 1.9 states/eV/f.u., formation enthalpy at 0 K -0.43 eV/atom. Number 14: N(E_F) 2.0 states/eV/f.u., formation enthalpy at 0 K -0.32 eV/atom.